# PBE-GGA BaAgSn2Rh, optimized geometry
# **Energy relative to the elements**: -0.30 eV/atom
data_BaAgSn2Rh
_chemical_formula_sum 'Ba1 Ag1 Sn2 Rh1'
_symmetry_space_group_name_H-M 'P 4/m m m'
_symmetry_Int_Tables_number 123
_symmetry_space_group_name_Hall '-P 4 2'
_cell_length_a 5.106
_cell_length_b 5.106
_cell_length_c 5.392
_cell_angle_alpha 90.00
_cell_angle_beta 90.00
_cell_angle_gamma 90.00
loop_
_atom_site_label
_atom_site_type_symbol
_atom_site_fract_x
_atom_site_fract_y
_atom_site_fract_z
Ba1 Ba 0.000 0.000 0.000
Ag1 Ag 0.500 0.500 0.000
Sn1 Sn 0.000 0.500 0.500
Rh1 Rh 0.500 0.500 0.500

# PBE-GGA Ba2AgSn4Rh3, optimized geometry
# **Energy relative to the elements**: -0.52 eV/atom
data_Ba2AgSn4Rh3
_chemical_formula_sum 'Ba2 Ag1 Sn4 Rh3'
_symmetry_space_group_name_H-M 'P -4 m 2'
_symmetry_Int_Tables_number 115
_cell_length_a 4.802
_cell_length_b 4.802
_cell_length_c 10.687
_cell_angle_alpha 90.00
_cell_angle_beta 90.00
_cell_angle_gamma 90.00
loop_
_symmetry_equiv_pos_as_xyz
'x,y,z'
'y,-x,-z'
'-x,-y,z'
'-y,x,-z'
'-x,y,z'
'-y,-x,-z'
'x,-y,z'
'y,x,-z'
loop_
_atom_site_label
_atom_site_type_symbol
_atom_site_fract_x
_atom_site_fract_y
_atom_site_fract_z
Ba1 Ba 0.000 0.500 0.246
Ag1 Ag 0.500 0.500 0.000
Sn1 Sn 0.000 0.000 0.500
Sn2 Sn 0.000 0.500 0.872
Sn3 Sn 0.500 0.500 0.500
Rh1 Rh 0.000 0.000 0.000
Rh2 Rh 0.000 0.500 0.620

# PBE-GGA Ba2AgSnRh, optimized geometry
# **Energy relative to the elements**: -0.28 eV/atom
data_Ba2AgSnRh
_chemical_formula_sum 'Ba2 Ag1 Sn1 Rh1'
_symmetry_space_group_name_H-M 'P 4/m m m'
_symmetry_Int_Tables_number 123
_symmetry_space_group_name_Hall '-P 4 2'
_cell_length_a 6.069
_cell_length_b 6.069
_cell_length_c 5.062
_cell_angle_alpha 90.00
_cell_angle_beta 90.00
_cell_angle_gamma 90.00
loop_
_atom_site_label
_atom_site_type_symbol
_atom_site_fract_x
_atom_site_fract_y
_atom_site_fract_z
Ba1 Ba 0.000 0.500 0.000
Ag1 Ag 0.000 0.000 0.500
Sn1 Sn 0.500 0.500 0.500
Rh1 Rh 0.500 0.500 0.000

# PBE-GGA BaSrAgRh, optimized geometry
# **Energy relative to the elements**: -0.13 eV/atom
data_BaSrAgRh
_chemical_formula_sum 'Ba4 Sr4 Ag4 Rh4'
_symmetry_space_group_name_H-M 'F -4 3 m'
_symmetry_Int_Tables_number 216
_symmetry_space_group_name_Hall 'F -4 2 3'
_cell_length_a 7.716
_cell_length_b 7.716
_cell_length_c 7.716
_cell_angle_alpha 90.00
_cell_angle_beta 90.00
_cell_angle_gamma 90.00
loop_
_atom_site_label
_atom_site_type_symbol
_atom_site_fract_x
_atom_site_fract_y
_atom_site_fract_z
Ba1 Ba 0.000 0.000 0.000
Sr1 Sr 0.000 0.000 0.500
Ag1 Ag 0.250 0.250 0.750
Rh1 Rh 0.250 0.250 0.250

# PBE-GGA BaTl2AgRh, optimized geometry
# **Energy above the lowest structure with this stoichiometry**: 67.5 meV per atom
# **Energy relative to the elements**: -0.07 eV/atom
data_BaTl2AgRh
_chemical_formula_sum 'Ba1 Tl2 Ag1 Rh1'
_symmetry_space_group_name_H-M 'P 4/m m m'
_symmetry_Int_Tables_number 123
_symmetry_space_group_name_Hall '-P 4 2'
_cell_length_a 5.293
_cell_length_b 5.293
_cell_length_c 5.924
_cell_angle_alpha 90.00
_cell_angle_beta 90.00
_cell_angle_gamma 90.00
loop_
_atom_site_label
_atom_site_type_symbol
_atom_site_fract_x
_atom_site_fract_y
_atom_site_fract_z
Ba1 Ba 0.000 0.000 0.000
Tl1 Tl 0.000 0.500 0.500
Ag1 Ag 0.500 0.500 0.000
Rh1 Rh 0.000 0.000 0.500

# PBE-GGA Ba2Tl6AgRh, optimized geometry
# **Energy relative to the elements**: -0.18 eV/atom
data_Ba2Tl6AgRh
_chemical_formula_sum 'Ba2 Tl6 Ag1 Rh1'
_symmetry_space_group_name_H-M 'P -3 m 1'
_symmetry_Int_Tables_number 164
_symmetry_space_group_name_Hall '-P 3 2"'
_cell_length_a 7.5154
_cell_length_b 7.5154
_cell_length_c 6.1613
_cell_angle_alpha 90.00
_cell_angle_beta 90.00
_cell_angle_gamma 120.00
loop_
_atom_site_label
_atom_site_type_symbol
_atom_site_fract_x
_atom_site_fract_y
_atom_site_fract_z
Ba1 Ba 0.3333 0.6667 0.2145
Tl1 Tl 0.1840 0.3681 0.7245
Ag1 Ag 0.0000 0.0000 0.0000
Rh1 Rh 0.0000 0.0000 0.5000

# PBE-GGA Ba8TlAg2Rh, optimized geometry
# **Energy relative to the elements**: -0.17 eV/atom
data_Ba8TlAg2Rh
_chemical_formula_sum 'Ba8 Tl1 Ag2 Rh1'
_symmetry_space_group_name_H-M 'P 1 2/m 1'
_symmetry_Int_Tables_number 10
_cell_length_a 7.747
_cell_length_b 10.033
_cell_length_c 7.922
_cell_angle_alpha 90.00
_cell_angle_beta 91.01
_cell_angle_gamma 90.00
loop_
_symmetry_equiv_pos_as_xyz
'x,y,z'
'-x,-y,-z'
'-x,y,-z'
'x,-y,z'
loop_
_atom_site_label
_atom_site_type_symbol
_atom_site_fract_x
_atom_site_fract_y
_atom_site_fract_z
Ba1 Ba 0.221 0.221 0.165
Ba2 Ba 0.250 0.000 0.688
Ba3 Ba 0.272 0.500 0.660
Tl1 Tl 0.000 0.500 0.000
Ag1 Ag 0.500 0.242 0.500
Rh1 Rh 0.000 0.000 0.000

# PBE-GGA BaTl2AgRh, optimized geometry
# **Energy above the lowest structure with this stoichiometry**: 0.0 meV per atom
# **Energy relative to the elements**: -0.14 eV/atom
data_BaTl2AgRh
_chemical_formula_sum 'Ba1 Tl2 Ag1 Rh1'
_symmetry_space_group_name_H-M 'P 4/m m m'
_symmetry_Int_Tables_number 123
_symmetry_space_group_name_Hall '-P 4 2'
_cell_length_a 5.221
_cell_length_b 5.221
_cell_length_c 5.442
_cell_angle_alpha 90.00
_cell_angle_beta 90.00
_cell_angle_gamma 90.00
loop_
_atom_site_label
_atom_site_type_symbol
_atom_site_fract_x
_atom_site_fract_y
_atom_site_fract_z
Ba1 Ba 0.000 0.000 0.000
Tl1 Tl 0.000 0.500 0.500
Ag1 Ag 0.500 0.500 0.000
Rh1 Rh 0.500 0.500 0.500

no.,E (eV/atom)
1,-4.33
2,-4.99
3,-3.89
4,-3.58
5,-3.44
6,-3.00
7,-2.74
8,-3.51